Record 1
Computed, not measured: a relaxed RbAc2CuS4 crystal at the GGA-PBE level of DFT.

Summary:
* total magnetization: 0.00 μB/cell
* raw formation energy: -1.664 eV/atom

a = 4.293 Å, b = 7.702 Å, c = 14.570 Å
α = 90.00°, β = 90.00°, γ = 106.19°
Element x y z (fractional)
Rb1 0.104 0.208 0.750
Rb2 0.896 0.792 0.250
Ac1 0.366 0.731 0.560
Ac2 0.634 0.269 0.060
Ac3 0.634 0.269 0.440
Ac4 0.366 0.731 0.940
Cu1 0.832 0.663 0.750
Cu2 0.168 0.337 0.250
S1 0.260 0.519 0.116
S2 0.740 0.481 0.616
S3 0.740 0.481 0.884
S4 0.260 0.519 0.384
S5 0.000 0.000 0.500
S6 0.000 0.000 0.000
S7 0.420 0.841 0.750
S8 0.580 0.159 0.250



Record 2
Computed, not measured: a relaxed LiAgRh2 crystal at the GGA-PBE level of DFT.

Summary:
* total magnetization: 1.30 μB/cell
* ΔE_f: 138 meV/atom

a = 2.683 Å, b = 4.242 Å, c = 5.265 Å
α = 90.00°, β = 90.00°, γ = 90.00°
Last column: magnetic moment on the atom in μB.
Element x y z (fractional)
Ag1 0.500 0.500 0.250  0.03
Li1 0.500 0.500 0.750  -0.01
Rh1 0.000 0.000 0.988  0.64
Rh2 0.000 0.000 0.512  0.64



Record 3
Computed, not measured: a relaxed Ce2TaHg crystal at the GGA-PBE level of DFT.

Summary:
* total magnetization: 0.00 μB/cell
* ΔE_f: 298 meV/atom

a = 3.067 Å, b = 3.067 Å, c = 11.656 Å
α = 82.44°, β = 82.44°, γ = 60.00°
Element x y z (fractional)
Hg1 0.500 0.500 0.500
Ce1 0.083 0.083 0.752
Ce2 0.917 0.917 0.248
Ta1 0.000 0.000 0.000



Record 4
Computed, not measured: a relaxed Ta2IrPt2 crystal at the GGA-PBE level of DFT.

Summary:
* total magnetization: 0.00 μB/cell
* ΔE_f: -550 meV/atom

a = 2.832 Å, b = 4.024 Å, c = 7.504 Å
α = 74.45°, β = 90.00°, γ = 90.00°
Element x y z (fractional)
Ta1 0.500 0.395 0.210
Ta2 0.500 0.605 0.790
Ir1 0.000 0.000 0.000
Pt1 0.000 0.189 0.622
Pt2 0.000 0.811 0.378



Record 5
Computed, not measured: a relaxed TbSc3Sb4 crystal at the GGA-PBE level of DFT.

Summary:
* total magnetization: 0.00 μB/cell
* raw formation energy: -0.978 eV/atom

a = 4.230 Å, b = 7.321 Å, c = 7.321 Å
α = 70.52°, β = 90.00°, γ = 90.00°
Element x y z (fractional)
Sc1 0.500 0.000 0.500
Sc2 0.000 0.000 0.000
Sc3 0.000 0.500 0.500
Sb1 0.000 0.761 0.739
Sb2 0.500 0.756 0.255
Sb3 0.000 0.239 0.261
Sb4 0.500 0.245 0.744
Tb1 0.500 0.500 0.000



Record 6
Computed, not measured: a relaxed BaHgSe2 crystal at the GGA-PBE level of DFT.

Summary:
* total magnetization: 0.00 μB/cell
* raw formation energy: -1.111 eV/atom

a = 7.374 Å, b = 8.403 Å, c = 8.547 Å
α = 90.00°, β = 90.00°, γ = 89.65°
Element x y z (fractional)
Ba1 0.850 0.252 0.964
Ba2 0.150 0.248 0.464
Ba3 0.150 0.748 0.036
Ba4 0.850 0.752 0.536
Hg1 0.433 0.994 0.749
Hg2 0.567 0.006 0.251
Hg3 0.567 0.506 0.249
Hg4 0.433 0.494 0.751
Se1 0.076 0.999 0.751
Se2 0.924 0.501 0.251
Se3 0.924 0.001 0.249
Se4 0.076 0.499 0.749
Se5 0.403 0.256 0.121
Se6 0.403 0.756 0.379
Se7 0.597 0.744 0.879
Se8 0.597 0.244 0.621



Record 7
Computed, not measured: a relaxed Pu4Mn5Al crystal at the GGA-PBE level of DFT.

Summary:
* total magnetization: 0.91 μB/cell
* ΔE_f: 116 meV/atom

a = 4.907 Å, b = 6.430 Å, c = 6.361 Å
α = 76.53°, β = 68.18°, γ = 66.70°
Last column: magnetic moment on the atom in μB.
Element x y z (fractional)
Pu1 0.636 0.338 0.662  -4.07
Pu2 0.758 0.670 0.725  4.50
Pu3 0.153 0.275 0.330  4.50
Pu4 0.470 0.730 0.269  4.07
Mn1 0.627 0.386 0.138  -1.51
Mn2 0.150 0.862 0.614  -1.51
Mn3 0.802 0.983 0.343  -2.89
Mn4 0.128 0.657 0.017  -2.89
Mn5 0.642 0.003 0.997  -1.15
Al1 0.145 0.096 0.904  0.02



Record 8
Computed, not measured: a relaxed TlTeRhS crystal at the GGA-PBE level of DFT.

Summary:
* total magnetization: 0.00 μB/cell
* raw formation energy: -0.352 eV/atom

a = 3.879 Å, b = 3.876 Å, c = 8.045 Å
α = 90.02°, β = 103.91°, γ = 120.02°
Element x y z (fractional)
Tl1 0.007 0.401 0.424
Te1 0.069 0.933 0.017
Rh1 0.285 0.541 0.840
S1 0.518 0.157 0.689



Record 9
Computed, not measured: a relaxed Ce4ErSb5 crystal at the GGA-PBE level of DFT.

Summary:
* total magnetization: 0.10 μB/cell
* raw formation energy: -1.042 eV/atom

a = 4.475 Å, b = 4.475 Å, c = 16.103 Å
α = 97.99°, β = 97.99°, γ = 90.00°
Last column: magnetic moment on the atom in μB.
Element x y z (fractional)
Ce1 0.401 0.401 0.802  -0.71
Ce2 0.801 0.801 0.601  0.75
Ce3 0.199 0.199 0.399  0.75
Ce4 0.599 0.599 0.198  -0.71
Er1 0.000 0.000 0.000  0.00
Sb1 0.098 0.098 0.196  0.01
Sb2 0.500 0.500 0.000  0.01
Sb3 0.902 0.902 0.804  0.01
Sb4 0.300 0.300 0.600  -0.02
Sb5 0.700 0.700 0.400  -0.02



Record 10
Computed, not measured: a relaxed BeCr2Ag crystal at the GGA-PBE level of DFT.

Summary:
* total magnetization: 0.47 μB/cell
* ΔE_f: 370 meV/atom

a = 3.144 Å, b = 3.144 Å, c = 5.191 Å
α = 90.00°, β = 90.00°, γ = 90.00°
Last column: magnetic moment on the atom in μB.
Element x y z (fractional)
Cr1 0.000 0.000 0.931  0.22
Cr2 0.000 0.000 0.569  0.22
Ag1 0.500 0.500 0.250  0.01
Be1 0.500 0.500 0.750  -0.01



Record 11
Computed, not measured: a relaxed SiPOs2 crystal at the GGA-PBE level of DFT.

Summary:
* total magnetization: 0.00 μB/cell
* raw formation energy: -0.048 eV/atom

a = 3.120 Å, b = 3.120 Å, c = 5.629 Å
α = 90.00°, β = 90.00°, γ = 90.00°
Element x y z (fractional)
Os1 0.000 0.000 0.929
Os2 0.500 0.500 0.323
P1 0.000 0.000 0.491
Si1 0.500 0.500 0.757



Record 12
Computed, not measured: a relaxed RbPAu3 crystal at the GGA-PBE level of DFT.

Summary:
* total magnetization: 0.00 μB/cell
* ΔE_f: -122 meV/atom

a = 4.980 Å, b = 4.980 Å, c = 4.980 Å
α = 90.00°, β = 90.00°, γ = 90.00°
Element x y z (fractional)
P1 0.000 0.000 0.000
Au1 0.000 0.500 0.000
Au2 0.000 0.000 0.500
Au3 0.500 0.000 0.000
Rb1 0.500 0.500 0.500



Record 13
Computed, not measured: a relaxed CoSn2B2 crystal at the GGA-PBE level of DFT.

Summary:
* total magnetization: 0.00 μB/cell
* ΔE_f: 826 meV/atom

a = 2.966 Å, b = 2.966 Å, c = 8.087 Å
α = 79.43°, β = 79.43°, γ = 90.00°
Element x y z (fractional)
B1 0.750 0.250 0.500
B2 0.250 0.750 0.500
Co1 0.000 0.000 0.000
Sn1 0.390 0.390 0.220
Sn2 0.610 0.610 0.780



Record 14
Computed, not measured: a relaxed KPbN2F crystal at the GGA-PBE level of DFT.

Summary:
* total magnetization: 4.00 μB/cell
* raw formation energy: 1.085 eV/atom

a = 4.914 Å, b = 4.914 Å, c = 4.588 Å
α = 90.00°, β = 90.00°, γ = 90.00°
Last column: magnetic moment on the atom in μB.
Element x y z (fractional)
Pb1 0.500 0.500 0.500  -0.13
K1 0.000 0.000 0.000  0.09
N1 0.000 0.500 0.000  1.41
N2 0.500 0.000 0.000  1.41
F1 0.000 0.000 0.500  0.04



Record 15
Computed, not measured: a relaxed ThPa2Ni9 crystal at the GGA-PBE level of DFT.

Summary:
* total magnetization: 0.00 μB/cell
* ΔE_f: -437 meV/atom

a = 4.937 Å, b = 4.937 Å, c = 8.752 Å
α = 73.62°, β = 73.62°, γ = 60.00°
Element x y z (fractional)
Th1 0.000 0.000 0.000
Pa1 0.860 0.860 0.421
Pa2 0.140 0.140 0.579
Ni1 0.667 0.667 0.999
Ni2 0.333 0.333 0.001
Ni3 0.500 0.500 0.500
Ni4 0.416 0.416 0.251
Ni5 0.917 0.416 0.251
Ni6 0.416 0.917 0.251
Ni7 0.584 0.584 0.749
Ni8 0.584 0.083 0.749
Ni9 0.083 0.584 0.749



Record 16
Computed, not measured: a relaxed NaTbSn2 crystal at the GGA-PBE level of DFT.

Summary:
* total magnetization: 0.00 μB/cell
* ΔE_f: -405 meV/atom

a = 3.403 Å, b = 3.403 Å, c = 9.396 Å
α = 90.00°, β = 90.00°, γ = 90.00°
Element x y z (fractional)
Na1 0.500 0.500 0.000
Tb1 0.500 0.500 0.500
Sn1 0.000 0.000 0.742
Sn2 0.000 0.000 0.258



Record 17
Computed, not measured: a relaxed PmPr14Pb crystal at the GGA-PBE level of DFT.

Summary:
* total magnetization: 0.00 μB/cell
* ΔE_f: -52 meV/atom

a = 7.347 Å, b = 7.347 Å, c = 10.398 Å
α = 90.00°, β = 90.00°, γ = 90.00°
Element x y z (fractional)
Pm1 0.875 0.125 0.000
Pr1 0.375 0.625 0.500
Pr2 0.875 0.125 0.500
Pr3 0.875 0.625 0.000
Pr4 0.875 0.625 0.500
Pr5 0.375 0.125 0.000
Pr6 0.375 0.125 0.500
Pr7 0.622 0.872 0.755
Pr8 0.622 0.872 0.245
Pr9 0.128 0.378 0.755
Pr10 0.128 0.378 0.245
Pr11 0.129 0.871 0.755
Pr12 0.129 0.871 0.245
Pr13 0.622 0.378 0.755
Pr14 0.622 0.378 0.245
Pb1 0.375 0.625 0.000



Record 18
Computed, not measured: a relaxed Mg3Ir2 crystal at the GGA-PBE level of DFT.

Summary:
* total magnetization: 0.00 μB/cell
* ΔE_f: -158 meV/atom

a = 4.471 Å, b = 4.471 Å, c = 5.322 Å
α = 90.00°, β = 90.00°, γ = 120.00°
Element x y z (fractional)
Mg1 0.000 0.000 0.000
Mg2 0.667 0.333 0.632
Mg3 0.333 0.667 0.368
Ir1 0.667 0.333 0.124
Ir2 0.333 0.667 0.876



Record 19
Computed, not measured: a relaxed VZnNiRu crystal at the GGA-PBE level of DFT.

Summary:
* total magnetization: 0.51 μB/cell
* ΔE_f: -221 meV/atom

a = 3.028 Å, b = 3.028 Å, c = 5.685 Å
α = 90.00°, β = 90.00°, γ = 90.00°
Last column: magnetic moment on the atom in μB.
Element x y z (fractional)
V1 0.000 0.000 0.571  0.40
Zn1 0.000 0.000 0.088  0.01
Ni1 0.500 0.500 0.321  0.13
Ru1 0.500 0.500 0.804  -0.07



Record 20
Computed, not measured: a relaxed Pm2Ga5Cu4 crystal at the GGA-PBE level of DFT.

Summary:
* total magnetization: 0.00 μB/cell
* ΔE_f: -359 meV/atom

a = 5.608 Å, b = 5.466 Å, c = 8.008 Å
α = 79.65°, β = 69.51°, γ = 59.14°
Element x y z (fractional)
Pm1 0.863 0.000 0.274
Pm2 0.137 0.000 0.726
Ga1 0.500 0.000 0.000
Ga2 0.000 0.500 0.000
Ga3 0.500 0.500 0.000
Ga4 0.250 0.500 0.500
Ga5 0.750 0.500 0.500
Cu1 0.497 0.279 0.727
Cu2 0.503 0.721 0.273
Cu3 0.224 0.279 0.273
Cu4 0.776 0.721 0.727



Record 21
Computed, not measured: a relaxed CdTcAs crystal at the GGA-PBE level of DFT.

Summary:
* total magnetization: 0.03 μB/cell
* ΔE_f: 56 meV/atom

a = 3.080 Å, b = 3.080 Å, c = 6.827 Å
α = 90.00°, β = 90.00°, γ = 120.00°
Element x y z (fractional)
As1 0.000 0.000 0.947
Tc1 0.667 0.333 0.697
Cd1 0.333 0.667 0.356



Record 22
Computed, not measured: a relaxed Li4SiGe crystal at the GGA-PBE level of DFT.

Summary:
* total magnetization: 0.00 μB/cell
* raw formation energy: -0.256 eV/atom

a = 2.732 Å, b = 4.345 Å, c = 7.475 Å
α = 90.00°, β = 89.06°, γ = 90.00°
Element x y z (fractional)
Li1 0.077 0.000 0.671
Li2 0.910 0.500 0.836
Li3 0.923 0.000 0.329
Li4 0.090 0.500 0.164
Si1 0.500 0.000 0.000
Ge1 0.500 0.500 0.500



Record 23
Computed, not measured: a relaxed ScVH2 crystal at the GGA-PBE level of DFT.

Summary:
* total magnetization: 0.00 μB/cell
* energy: -5.760 eV/atom

a = 4.784 Å, b = 4.784 Å, c = 4.874 Å
α = 60.61°, β = 60.61°, γ = 90.00°
Element x y z (fractional)
Sc1 0.500 0.500 0.000
Sc2 0.250 0.750 0.500
H1 0.666 0.125 0.250
H2 0.084 0.625 0.250
H3 0.375 0.334 0.750
H4 0.875 0.916 0.750
V1 0.000 0.000 0.000
V2 0.750 0.250 0.500



Record 24
Computed, not measured: a relaxed TaTeMo2Os crystal at the GGA-PBE level of DFT.

Summary:
* total magnetization: 0.00 μB/cell
* raw formation energy: 2.303 eV/atom

a = 4.688 Å, b = 5.084 Å, c = 4.688 Å
α = 90.00°, β = 90.00°, γ = 90.00°
Element x y z (fractional)
Mo1 0.000 0.000 0.500
Mo2 0.500 0.000 0.000
Te1 0.000 0.500 0.000
Os1 0.500 0.500 0.500
Ta1 0.000 0.000 0.000



Record 25
Computed, not measured: a relaxed In2Cu2As crystal at the GGA-PBE level of DFT.

Summary:
* total magnetization: 0.00 μB/cell
* ΔE_f: 207 meV/atom

a = 8.049 Å, b = 8.049 Å, c = 2.934 Å
α = 90.00°, β = 90.00°, γ = 90.00°
Element x y z (fractional)
As1 0.000 0.000 0.000
As2 0.500 0.500 0.000
Cu1 0.108 0.608 0.500
Cu2 0.608 0.892 0.500
Cu3 0.892 0.392 0.500
Cu4 0.392 0.108 0.500
In1 0.314 0.814 0.000
In2 0.814 0.686 0.000
In3 0.686 0.186 0.000
In4 0.186 0.314 0.000